Density functional theory data (PBE-GGA) for a geometry-optimized AcPuCo structure.

Space group ... F-43m, No. 216
DFT formation energy ... 209 meV/atom
Energy above the most stable polymorph in this dataset ... 0.0 meV per atom
Final energy ... -24.71 eV for the cell shown
Total magnetization ... 5.66 μB per formula unit

The structure in POSCAR format:
```
AcPuCo
1.0
0.000 3.442 3.442
3.442 0.000 3.442
3.442 3.442 0.000
Ac Pu Co
1 1 1
direct
0.000 0.000 0.000
0.500 0.500 0.500
0.250 0.250 0.250
```